# 1
! Fe3GeBi | the Alexandria database | PBE-GGA | relaxed; values from VASP
&SYSTEM
  ibrav = 0, nat = 5, ntyp = 3
/
ATOMIC_SPECIES
Fe 55.84 Fe.upf
Bi 208.98 Bi.upf
Ge 72.64 Ge.upf
ATOMIC_POSITIONS crystal
Fe 0.500 0.000 0.000
Fe 0.000 0.500 0.000
Fe 0.000 0.000 0.500
Bi 0.000 0.000 0.000
Ge 0.500 0.500 0.500
CELL_PARAMETERS angstrom
-4.058 -2.715 -0.117
1.799 -2.841 3.543
-2.037 2.901 3.360
! Density of states at the Fermi level (states/eV/f.u.): 7.6
! Uncorrected energy (eV/f.u.): -26.0
! Formation energy from the elements (eV per atom): 1.58



# 2
! FeGeBi | the Alexandria database | PBE-GGA | relaxed; values from VASP
&SYSTEM
  ibrav = 0, nat = 12, ntyp = 3
/
ATOMIC_SPECIES
Bi 208.98 Bi.upf
Fe 55.84 Fe.upf
Ge 72.64 Ge.upf
ATOMIC_POSITIONS crystal
Bi 0.714 0.098 0.410
Bi 0.214 0.902 0.090
Bi 0.786 0.098 0.910
Bi 0.286 0.902 0.590
Fe 0.484 0.296 0.794
Fe 0.516 0.704 0.206
Fe 0.016 0.296 0.294
Fe 0.984 0.704 0.706
Ge 0.718 0.599 0.879
Ge 0.782 0.599 0.379
Ge 0.218 0.401 0.621
Ge 0.282 0.401 0.121
CELL_PARAMETERS angstrom
-0.239 -4.407 3.814
5.700 2.525 3.275
-6.414 2.026 1.938
! Density of states at the Fermi level (states/eV/f.u.): 2.3
! Uncorrected energy (eV/f.u.): -16.5
! Formation energy from the elements (eV per atom): 0.16